# CaYCr, optimized geometry, DFT PBE-GGA
data_CaYCr
_cell_length_a 6.874
_cell_length_b 6.874
_cell_length_c 6.874
_cell_angle_alpha 149.47
_cell_angle_beta 149.47
_cell_angle_gamma 43.72
_symmetry_space_group_name_H-M 'P 1'
_symmetry_Int_Tables_number 1
_symmetry_space_group_name_Hall 'P 1'
loop_
_atom_site_label
_atom_site_fract_x
_atom_site_fract_y
_atom_site_fract_z
Ca1 0.000 0.000 0.000
Y1 0.722 0.722 0.000
Cr1 0.348 0.348 0.000
# ΔH_f (0 K) = 0.376 eV/atom
# Space group = I4mm
# D(E_F) = 2.440 states/eV per cell
# Energy relative to the lowest polymorph listed for this composition = 0.0 meV/atom


# CaYCr, optimized geometry, DFT PBE-GGA
data_CaYCr
_cell_length_a 5.312
_cell_length_b 5.312
_cell_length_c 3.422
_cell_angle_alpha 90.00
_cell_angle_beta 90.00
_cell_angle_gamma 120.00
_symmetry_space_group_name_H-M 'P 1'
_symmetry_Int_Tables_number 1
_symmetry_space_group_name_Hall 'P 1'
loop_
_atom_site_label
_atom_site_fract_x
_atom_site_fract_y
_atom_site_fract_z
Ca1 0.000 0.000 0.000
Y1 0.333 0.667 0.500
Cr1 0.667 0.333 0.000
# ΔH_f (0 K) = 0.574 eV/atom
# Space group = P-6m2
# D(E_F) = 3.822 states/eV per cell
# Energy relative to the lowest polymorph listed for this composition = 198.1 meV/atom


# CaYCr3, optimized geometry, DFT PBE-GGA
data_CaYCr3
_cell_length_a 5.102
_cell_length_b 5.102
_cell_length_c 5.102
_cell_angle_alpha 90.00
_cell_angle_beta 90.00
_cell_angle_gamma 90.00
_symmetry_space_group_name_H-M 'P 1'
_symmetry_Int_Tables_number 1
_symmetry_space_group_name_Hall 'P 1'
loop_
_atom_site_label
_atom_site_fract_x
_atom_site_fract_y
_atom_site_fract_z
Ca1 0.000 0.000 0.000
Y1 0.500 0.500 0.500
Cr1 0.000 0.500 0.500
Cr2 0.500 0.000 0.500
Cr3 0.500 0.500 0.000
# ΔH_f (0 K) = 1.462 eV/atom
# Space group = Pm-3m
# D(E_F) = 1.660 states/eV per cell
# Energy relative to the lowest polymorph listed for this composition = 0.0 meV/atom


# CaY2Cr, optimized geometry, DFT PBE-GGA
data_CaY2Cr
_cell_length_a 3.674
_cell_length_b 3.674
_cell_length_c 8.767
_cell_angle_alpha 90.00
_cell_angle_beta 90.00
_cell_angle_gamma 90.00
_symmetry_space_group_name_H-M 'P 1'
_symmetry_Int_Tables_number 1
_symmetry_space_group_name_Hall 'P 1'
loop_
_atom_site_label
_atom_site_fract_x
_atom_site_fract_y
_atom_site_fract_z
Ca1 0.000 0.000 0.000
Y1 0.000 0.000 0.408
Y2 0.500 0.500 0.685
Cr1 0.500 0.500 0.222
# ΔH_f (0 K) = 0.321 eV/atom
# Space group = P4mm
# D(E_F) = 5.493 states/eV per cell
# Energy relative to the lowest polymorph listed for this composition = 100.9 meV/atom


# Ca2YCr2, optimized geometry, DFT PBE-GGA
data_Ca2YCr2
_cell_length_a 7.209
_cell_length_b 7.209
_cell_length_c 7.209
_cell_angle_alpha 143.36
_cell_angle_beta 143.36
_cell_angle_gamma 52.79
_symmetry_space_group_name_H-M 'P 1'
_symmetry_Int_Tables_number 1
_symmetry_space_group_name_Hall 'P 1'
loop_
_atom_site_label
_atom_site_fract_x
_atom_site_fract_y
_atom_site_fract_z
Ca1 0.250 0.750 0.500
Ca2 0.750 0.250 0.500
Y1 0.000 0.000 0.000
Cr1 0.431 0.431 0.000
Cr2 0.569 0.569 0.000
# ΔH_f (0 K) = 0.685 eV/atom
# Space group = I4/mmm
# D(E_F) = 5.927 states/eV per cell
# Energy relative to the lowest polymorph listed for this composition = 18.2 meV/atom


# Ca3YCr, optimized geometry, DFT PBE-GGA
data_Ca3YCr
_cell_length_a 6.161
_cell_length_b 6.161
_cell_length_c 6.161
_cell_angle_alpha 90.00
_cell_angle_beta 90.00
_cell_angle_gamma 90.00
_symmetry_space_group_name_H-M 'P 1'
_symmetry_Int_Tables_number 1
_symmetry_space_group_name_Hall 'P 1'
loop_
_atom_site_label
_atom_site_fract_x
_atom_site_fract_y
_atom_site_fract_z
Ca1 0.000 0.000 0.500
Ca2 0.000 0.500 0.000
Ca3 0.500 0.000 0.000
Y1 0.000 0.000 0.000
Cr1 0.500 0.500 0.500
# ΔH_f (0 K) = 1.336 eV/atom
# Space group = Pm-3m
# D(E_F) = 5.297 states/eV per cell
# Energy relative to the lowest polymorph listed for this composition = 719.8 meV/atom


# CaY2Cr, optimized geometry, DFT PBE-GGA
data_CaY2Cr
_cell_length_a 6.518
_cell_length_b 6.518
_cell_length_c 6.518
_cell_angle_alpha 146.54
_cell_angle_beta 130.37
_cell_angle_gamma 61.18
_symmetry_space_group_name_H-M 'P 1'
_symmetry_Int_Tables_number 1
_symmetry_space_group_name_Hall 'P 1'
loop_
_atom_site_label
_atom_site_fract_x
_atom_site_fract_y
_atom_site_fract_z
Ca1 0.000 0.000 0.000
Y1 0.424 0.424 0.000
Y2 0.712 0.212 0.500
Cr1 0.220 0.720 0.500
# ΔH_f (0 K) = 0.325 eV/atom
# Space group = Imm2
# D(E_F) = 4.420 states/eV per cell
# Energy relative to the lowest polymorph listed for this composition = 104.7 meV/atom


# CaYCr4, optimized geometry, DFT PBE-GGA
data_CaYCr4
_cell_length_a 5.221
_cell_length_b 5.221
_cell_length_c 5.221
_cell_angle_alpha 60.00
_cell_angle_beta 60.00
_cell_angle_gamma 60.00
_symmetry_space_group_name_H-M 'P 1'
_symmetry_Int_Tables_number 1
_symmetry_space_group_name_Hall 'P 1'
loop_
_atom_site_label
_atom_site_fract_x
_atom_site_fract_y
_atom_site_fract_z
Ca1 0.000 0.000 0.000
Y1 0.250 0.250 0.250
Cr1 0.127 0.624 0.624
Cr2 0.624 0.127 0.624
Cr3 0.624 0.624 0.127
Cr4 0.624 0.624 0.624
# ΔH_f (0 K) = 0.594 eV/atom
# Space group = F-43m
# D(E_F) = 11.419 states/eV per cell


# CaY2Cr, optimized geometry, DFT PBE-GGA
data_CaY2Cr
_cell_length_a 5.325
_cell_length_b 5.325
_cell_length_c 4.052
_cell_angle_alpha 90.00
_cell_angle_beta 90.00
_cell_angle_gamma 90.00
_symmetry_space_group_name_H-M 'P 1'
_symmetry_Int_Tables_number 1
_symmetry_space_group_name_Hall 'P 1'
loop_
_atom_site_label
_atom_site_fract_x
_atom_site_fract_y
_atom_site_fract_z
Ca1 0.000 0.000 0.000
Y1 0.000 0.500 0.500
Y2 0.500 0.000 0.500
Cr1 0.500 0.500 0.000
# ΔH_f (0 K) = 0.381 eV/atom
# Space group = P4/mmm
# D(E_F) = 3.807 states/eV per cell
# Energy relative to the lowest polymorph listed for this composition = 161.2 meV/atom


# CaYCr, optimized geometry, DFT PBE-GGA
data_CaYCr
_cell_length_a 3.596
_cell_length_b 3.596
_cell_length_c 7.786
_cell_angle_alpha 90.00
_cell_angle_beta 90.00
_cell_angle_gamma 120.00
_symmetry_space_group_name_H-M 'P 1'
_symmetry_Int_Tables_number 1
_symmetry_space_group_name_Hall 'P 1'
loop_
_atom_site_label
_atom_site_fract_x
_atom_site_fract_y
_atom_site_fract_z
Ca1 0.000 0.000 0.000
Y1 0.333 0.667 0.585
Cr1 0.667 0.333 0.307
# ΔH_f (0 K) = 0.565 eV/atom
# Space group = P3m1
# D(E_F) = 2.931 states/eV per cell
# Energy relative to the lowest polymorph listed for this composition = 188.8 meV/atom


# CaY2Cr, optimized geometry, DFT PBE-GGA
data_CaY2Cr
_cell_length_a 5.453
_cell_length_b 5.453
_cell_length_c 5.453
_cell_angle_alpha 60.00
_cell_angle_beta 60.00
_cell_angle_gamma 60.00
_symmetry_space_group_name_H-M 'P 1'
_symmetry_Int_Tables_number 1
_symmetry_space_group_name_Hall 'P 1'
loop_
_atom_site_label
_atom_site_fract_x
_atom_site_fract_y
_atom_site_fract_z
Ca1 0.000 0.000 0.000
Y1 0.500 0.500 0.500
Y2 0.750 0.750 0.750
Cr1 0.250 0.250 0.250
# ΔH_f (0 K) = 0.426 eV/atom
# Space group = F-43m
# D(E_F) = 3.180 states/eV per cell
# Energy relative to the lowest polymorph listed for this composition = 205.9 meV/atom


# CaY2Cr, optimized geometry, DFT PBE-GGA
data_CaY2Cr
_cell_length_a 7.660
_cell_length_b 7.660
_cell_length_c 7.660
_cell_angle_alpha 120.11
_cell_angle_beta 120.11
_cell_angle_gamma 89.81
_symmetry_space_group_name_H-M 'P 1'
_symmetry_Int_Tables_number 1
_symmetry_space_group_name_Hall 'P 1'
loop_
_atom_site_label
_atom_site_fract_x
_atom_site_fract_y
_atom_site_fract_z
Ca1 0.000 0.000 0.000
Ca2 0.750 0.250 0.500
Y1 0.374 0.625 0.249
Y2 0.375 0.624 0.749
Y3 0.376 0.125 0.751
Y4 0.875 0.626 0.251
Cr1 0.250 0.750 0.500
Cr2 0.500 0.500 0.000
# ΔH_f (0 K) = 1.032 eV/atom
# Space group = I-42d
# D(E_F) = 2.451 states/eV per cell
# Energy relative to the lowest polymorph listed for this composition = 811.3 meV/atom


Among the records above, which one has the highest ΔH_f (0 K)? CaYCr3


The lowest D(E_F) belongs to which entry? CaYCr3


Among the records above, which one has the highest ΔH_f (0 K)? CaYCr3


Look up the D(E_F) of the fourth one. 5.493 states/eV per cell